Tl3Cd2Cl3F4: optimized geometry, PBE.

a b c (Å): 5.259 24.722 4.462
angles (deg): 90.00 90.00 90.00
Space group Imm2 (No. 44)
Symmetry-distinct sites (fractional):
Tl (0.000, 0.000, 0.000)
Tl (0.000, 0.196, 0.997)
Cd (0.000, 0.389, 0.002)
Cl (0.000, 0.101, 0.498)
Cl (0.000, 0.500, 0.003)
F (0.000, 0.299, 0.006)
F (0.000, 0.385, 0.502)

The raw formation energy comes out at -1545 meV/atom. The value obtained for the mass density is 5.8 g/cm³. The value obtained for the electronic total energy is -0.248 Ry/atom. As for the size of the total moment: 0.000 μB per formula unit. Its density of states at the Fermi level is 0.0 states/eV/cell.